[1]
SCAN CuAgHg, single point on PBEsol structure; space-group type = Imm2; crystal system = orthorhombic; ΔE_f = 0.136 eV/atom; total magnetization = 0.0 μB/f.u.; E above lowest polymorph = 0 meV/atom
1.0
3.131 0.000 0.000
0.000 3.205 0.000
-1.566 -1.602 4.820
Ag Cu Hg
1 1 1
Cartesian
0.000 0.000 0.135 Ag
1.566 1.602 1.575 Cu
0.000 0.000 3.111 Hg

---

[2]
SCAN Sr3CaCu, single point on PBEsol structure; space-group type = Pm-3m; crystal system = cubic; ΔE_f = 0.024 eV/atom; total magnetization = 0.2 μB/f.u.
1.0
5.955 0.000 0.000
0.000 5.955 0.000
0.000 0.000 5.955
Sr Ca Cu
3 1 1
Cartesian
0.000 2.977 0.000 Sr
0.000 0.000 2.977 Sr
2.977 0.000 0.000 Sr
2.977 2.977 2.977 Ca
0.000 0.000 0.000 Cu

---

[3]
SCAN Cr2CuRu, single point on PBEsol structure; space-group type = Imm2; crystal system = orthorhombic; ΔE_f = 0.238 eV/atom; total magnetization = 0.0 μB/f.u.
1.0
-1.318 -0.586 -2.471
-1.670 -3.358 1.687
-1.717 4.168 1.583
Cr Cu Ru
2 1 1
Cartesian
-0.100 0.068 0.037 Cr
-2.131 0.713 -0.689 Cr
-3.143 2.149 1.166 Cu
-2.542 -0.512 1.477 Ru

---

[4]
SCAN ZnInSN2, single point on PBEsol structure; space-group type = P4/mmm; crystal system = tetragonal; total magnetization = 3.4 μB/f.u.; ΔE_f (raw) = 6.43 eV/f.u.; E above lowest polymorph = 218 meV/atom
1.0
-2.822 2.486 1.670
-0.022 -2.311 3.404
3.923 3.047 2.094
Zn N S In
1 2 1 1
Cartesian
0.540 1.611 3.584 Zn
-0.011 -1.156 1.702 N
-1.411 1.243 0.835 N
1.961 1.523 1.047 S
0.000 0.000 0.000 In

---

[5]
SCAN FeTcRu2, single point on PBEsol structure; space-group type = P4mm; crystal system = tetragonal; ΔE_f = 0.160 eV/atom; total magnetization = 2.0 μB/f.u.; E above lowest polymorph = 33 meV/atom
1.0
-1.664 0.603 1.951
-1.063 -2.405 -0.163
4.835 -2.469 4.886
Fe Ru Tc
1 2 1
Cartesian
2.261 -2.752 4.557 Fe
4.777 -2.439 4.827 Ru
-0.170 -1.510 2.100 Ru
2.493 -1.273 2.519 Tc

---

[6]
SCAN BaSnS2Cl, single point on PBEsol structure; space-group type = P4/mmm; crystal system = tetragonal; total magnetization = 0.0 μB/f.u.; ΔE_f (raw) = -6.67 eV/f.u.
1.0
5.092 0.000 0.000
0.000 5.092 0.000
0.000 0.000 5.191
S Cl Ba Sn
2 1 1 1
Cartesian
0.000 2.546 0.000 S
2.546 0.000 0.000 S
0.000 0.000 2.595 Cl
2.546 2.546 2.595 Ba
0.000 0.000 0.000 Sn

---

[7]
SCAN NaCa2ScI, single point on PBEsol structure; space-group type = P4/mmm; crystal system = tetragonal; total magnetization = 1.4 μB/f.u.; ΔE_f (raw) = 1.39 eV/f.u.
1.0
-4.589 -1.335 -2.675
0.849 -6.070 1.574
-3.348 0.905 5.293
I Sc Ca Na
1 1 2 1
Cartesian
-2.294 -0.668 -1.337 I
0.000 0.000 0.000 Sc
-1.674 0.452 2.646 Ca
0.424 -3.035 0.787 Ca
-3.544 -3.250 2.096 Na

---

[8]
SCAN Na2PbO2, single point on PBEsol structure; space-group type = Pbcn; crystal system = orthorhombic; total magnetization = 0.0 μB/f.u.; ΔE_f (raw) = -7.11 eV/f.u.
1.0
5.951 0.000 0.000
0.000 6.896 0.000
0.000 0.000 16.836
Na O Pb
16 16 8
Cartesian
1.488 0.882 0.000 Na
4.463 2.566 8.418 Na
4.463 6.014 0.000 Na
1.488 4.330 8.418 Na
1.488 4.288 0.000 Na
4.463 6.057 8.418 Na
4.463 2.608 0.000 Na
1.488 0.840 8.418 Na
2.479 2.573 6.117 Na
5.454 0.875 2.301 Na
0.496 2.573 10.718 Na
3.472 0.875 14.535 Na
3.472 4.323 10.718 Na
0.496 6.021 14.535 Na
5.454 4.323 6.117 Na
2.479 6.021 2.301 Na
0.657 2.742 1.639 O
3.632 0.706 6.779 O
2.319 2.742 15.197 O
5.294 0.706 10.057 O
5.294 4.154 15.197 O
2.319 6.190 10.057 O
3.632 4.154 1.639 O
0.657 6.190 6.779 O
0.381 2.437 6.969 O
3.356 1.011 1.449 O
2.595 2.437 9.867 O
5.570 1.011 15.387 O
5.570 4.459 9.867 O
2.595 5.885 15.387 O
3.356 4.459 6.969 O
0.381 5.885 1.449 O
2.577 2.512 2.742 Pb
5.553 0.936 5.676 Pb
0.398 2.512 14.094 Pb
3.373 0.936 11.160 Pb
3.373 4.385 14.094 Pb
0.398 5.960 11.160 Pb
5.553 4.385 2.742 Pb
2.577 5.960 5.676 Pb

---

[9]
SCAN MgSc2, single point on PBEsol structure; space-group type = Immm; crystal system = orthorhombic; ΔE_f = 0.038 eV/atom; total magnetization = 1.7 μB/f.u.
1.0
-1.995 -2.100 -1.284
3.584 -2.591 -1.331
-0.968 -0.023 5.450
Sc Mg
2 1
Cartesian
0.736 -3.140 0.083 Sc
-0.115 -1.574 2.753 Sc
0.000 0.000 0.000 Mg

---

[10]
SCAN SrAlTc2, single point on PBEsol structure; space-group type = R3m; crystal system = trigonal; ΔE_f = 0.528 eV/atom; total magnetization = 0.0 μB/f.u.
1.0
2.903 0.000 0.000
1.452 2.514 0.000
1.452 0.838 9.718
Sr Tc Al
1 2 1
Cartesian
1.452 0.838 2.375 Sr
1.452 0.838 9.306 Tc
4.355 2.514 7.362 Tc
2.903 1.676 5.252 Al

---

[11]
SCAN TaCr2Co, single point on PBEsol structure; space-group type = Imm2; crystal system = orthorhombic; ΔE_f = 0.086 eV/atom; total magnetization = 1.9 μB/f.u.; E above lowest polymorph = 152 meV/atom
1.0
2.994 0.000 0.000
0.000 4.184 0.000
-1.497 -2.092 4.035
Co Cr Ta
1 2 1
Cartesian
0.000 2.092 2.079 Co
0.000 0.000 0.089 Cr
1.497 0.000 1.895 Cr
0.000 0.000 4.008 Ta

---

[12]
SCAN Nb2CuS4, single point on PBEsol structure; space-group type = P3m1; crystal system = trigonal; total magnetization = 0.0 μB/f.u.; ΔE_f (raw) = -7.24 eV/f.u.
1.0
3.344 0.000 0.000
-1.672 2.896 0.000
0.000 0.000 12.640
Nb S Cu
2 4 1
Cartesian
1.672 0.965 3.033 Nb
0.000 0.000 9.605 Nb
1.672 0.965 8.043 S
0.000 0.000 4.634 S
0.000 0.000 1.502 S
1.672 0.965 11.124 S
1.672 0.965 5.870 Cu